Ba3TmPd2O9: optimized geometry, GGA-PBE.

The final energy is -6.20 eV per atom.

It has space group P-3m1 (No. 164), with a = 5.8745 Å, b = 5.8745 Å, c = 7.2462 Å, α = 90.00°, β = 90.00° and γ = 120.00°. The inequivalent atoms are Ba at (0.0000, 0.0000, 0.0000), Ba at (0.3333, 0.6667, 0.6818), Tm at (0.0000, 0.0000, 0.5000), Pd at (0.3333, 0.6667, 0.1664), O at (0.0000, 0.5000, 0.0000) and O at (0.1735, 0.3469, 0.3240).



Ba2TmPdO5: optimized geometry, GGA-PBE.

The final energy is -6.43 eV per atom.

It has space group Cmc2_1 (No. 36), with a = 3.5346 Å, b = 13.9478 Å, c = 11.9918 Å, α = 90.00°, β = 90.00° and γ = 90.00°. The inequivalent atoms are Ba at (0.0000, 0.0962, 0.0000), Ba at (0.0000, 0.1500, 0.6221), Tm at (0.0000, 0.2073, 0.3377), Pd at (0.0000, 0.4788, 0.7659), O at (0.0000, 0.0523, 0.3683), O at (0.0000, 0.2775, 0.9538), O at (0.0000, 0.3317, 0.7170), O at (0.0000, 0.3705, 0.3053) and O at (0.0000, 0.4851, 0.1004).



Ba2UPd3O12: optimized geometry, GGA-PBE.

The final energy is -6.45 eV per atom.

It has space group R-3m (No. 166, hexagonal axes), with a = 7.1375 Å, b = 7.1375 Å, c = 18.5965 Å, α = 90.00°, β = 90.00° and γ = 120.00°. The inequivalent atoms are Ba at (0.0000, 0.0000, 0.1100), U at (0.0000, 0.0000, 0.5000), Pd at (0.0000, 0.5000, 0.0000), O at (0.0444, 0.5222, 0.3544) and O at (0.0492, 0.5246, 0.1075).